5
Lattice="-1.5852 -4.3650 -0.2813 2.2852 -0.5901 -3.7212 3.6485 -1.4845 2.4759" Properties=species:S:1:pos:R:3 comment="Sc2CrFeRh PBE optimized geometry" dos_at_fermi_per_ev_cell=7.372 ef_ev_per_atom=0.73 dft_energy_ev_per_atom=-6.892 total_magnetization_mub_per_cell=0.1 sg="No. 123" crystal_system=tetragonal pbc="T T T"
Cr 2.1742 -3.2198 -0.7633
Sc -0.7926 -2.1825 -0.1407
Fe 0.0000 0.0000 0.0000
Rh 1.1426 -0.2950 -1.8606
Sc 1.8242 -0.7423 1.2379

---

5
Lattice="4.4711 0.0000 0.0000 0.0000 4.8770 0.0000 0.0000 0.0000 4.4711" Properties=species:S:1:pos:R:3 comment="CrFeTeRh2 PBE optimized geometry" dos_at_fermi_per_ev_cell=6.518 dft_energy_ev_per_atom=-6.130 total_magnetization_mub_per_cell=3.3 sg="No. 123" crystal_system=tetragonal pbc="T T T"
Cr 0.0000 0.0000 0.0000
Fe 2.2355 2.4385 2.2355
Rh 0.0000 0.0000 2.2355
Te 0.0000 2.4385 0.0000
Rh 2.2355 0.0000 0.0000

---

5
Lattice="5.0905 0.0000 0.0000 0.0000 4.5329 0.0000 0.0000 0.0000 5.0905" Properties=species:S:1:pos:R:3 comment="CrFeTe2Rh PBE optimized geometry" dos_at_fermi_per_ev_cell=13.605 dft_energy_ev_per_atom=-5.334 total_magnetization_mub_per_cell=5.7 sg="No. 123" crystal_system=tetragonal pbc="T T T"
Fe 2.5452 2.2664 2.5452
Te 2.5452 0.0000 0.0000
Te 0.0000 0.0000 2.5452
Rh 0.0000 2.2664 0.0000
Cr 0.0000 0.0000 0.0000

---

4
Lattice="-0.0356 -4.2325 0.0239 3.6331 -2.1488 -0.3150 1.5076 -2.1103 3.3451" Properties=species:S:1:pos:R:3 comment="TiCrFeRh PBE optimized geometry" dos_at_fermi_per_ev_cell=7.485 ef_ev_per_atom=-0.15 dft_energy_ev_per_atom=-8.486 total_magnetization_mub_per_cell=3.1 sg="No. 216" crystal_system=cubic pbc="T T T"
Fe 1.2763 -2.1229 0.7635
Ti 2.5525 -4.2458 1.5270
Cr 0.0000 0.0000 0.0000
Rh 3.8288 -6.3687 2.2905

---

10
Lattice="-5.8983 3.0218 -1.9071 -3.3564 -3.4228 4.9576 0.4727 1.9931 1.6961" Properties=species:S:1:pos:R:3 comment="CrFe2Ru2 PBE optimized geometry" dos_at_fermi_per_ev_cell=11.553 ef_ev_per_atom=0.30 dft_energy_ev_per_atom=-8.723 total_magnetization_mub_per_cell=1.1 sg="No. 127" crystal_system=tetragonal pbc="T T T"
Fe -5.1935 -1.8637 3.6375
Cr -4.6274 -0.2005 1.5253
Fe -1.9837 -0.9370 1.6539
Ru -3.0715 -0.7854 3.8640
Cr 0.0000 0.0000 0.0000
Ru -2.2652 1.3727 1.1033
Fe -4.0613 1.4627 -0.5870
Fe -7.2711 0.5360 1.3966
Ru -5.7106 2.3776 0.8826
Ru -6.5169 0.2195 3.6433

---

4
Lattice="-3.2225 -1.7278 -1.9834 -0.9579 -3.9919 0.6716 -3.6014 -0.9181 2.2889" Properties=species:S:1:pos:R:3 comment="CrFeRu2 PBE optimized geometry" dos_at_fermi_per_ev_cell=2.683 ef_ev_per_atom=0.33 dft_energy_ev_per_atom=-8.830 total_magnetization_mub_per_cell=2.1 sg="No. 160" crystal_system=trigonal pbc="T T T"
Fe -3.9177 -3.3069 0.5216
Ru -1.9169 -1.6722 0.2090
Cr -6.0413 -4.8866 0.9859
Ru -3.3982 -1.0091 2.0380

---

6
Lattice="0.0000 3.5682 3.5682 3.5682 0.0000 3.5682 3.5682 3.5682 0.0000" Properties=species:S:1:pos:R:3 comment="CrFeRu4 PBE optimized geometry" dos_at_fermi_per_ev_cell=6.096 ef_ev_per_atom=0.55 dft_energy_ev_per_atom=-8.650 total_magnetization_mub_per_cell=3.1 sg="No. 216" crystal_system=cubic pbc="T T T"
Ru 4.4599 2.6764 2.6764
Cr 1.7841 1.7841 1.7841
Fe 0.0000 0.0000 0.0000
Ru 4.4599 4.4599 4.4599
Ru 2.6764 4.4599 2.6764
Ru 2.6764 2.6764 4.4599

---

4
Lattice="-4.5050 -0.8361 -0.1177 -0.8143 -4.4727 0.5831 2.5250 3.0160 2.3529" Properties=species:S:1:pos:R:3 comment="CrFeRu2 PBE optimized geometry" dos_at_fermi_per_ev_cell=4.683 ef_ev_per_atom=0.08 dft_energy_ev_per_atom=-9.075 total_magnetization_mub_per_cell=0.5 sg="No. 119" crystal_system=tetragonal pbc="T T T"
Ru 0.0000 0.0000 0.0000
Cr -2.6597 -2.6544 0.2327
Ru -0.4745 -2.0555 1.5844
Fe -2.3198 -0.2373 1.2340